Run P
Here is crystalline Cu3IrC at its relaxed geometry from the Alexandria database. Energies are from PBE.

## Properties
DOS(E_F), states/eV per cell: 6.08
Total magnetization, Bohr magnetons per cell: 0.00
Theoretical density, g cm⁻³: 11.3

a = 3.8687 Å, b = 3.8687 Å, c = 3.8687 Å
α = 90.00°, β = 90.00°, γ = 90.00°
Atoms (fractional coordinates):
C  0.0000  0.0000  0.0000
Ir  0.5000  0.5000  0.5000
Cu  0.0000  0.5000  0.0000
Cu  0.0000  0.0000  0.5000
Cu  0.5000  0.0000  0.0000



Run Q
Here is crystalline Cu3IrC at its relaxed geometry from the Alexandria database. Energies are from PBE.

## Properties
DOS(E_F), states/eV per cell: 5.39
Total magnetization, Bohr magnetons per cell: 0.00
Theoretical density, g cm⁻³: 6.7

a = 4.6083 Å, b = 4.6083 Å, c = 4.6083 Å
α = 90.00°, β = 90.00°, γ = 90.00°
Atoms (fractional coordinates):
C  0.5000  0.5000  0.5000
Ir  0.0000  0.0000  0.0000
Cu  0.0000  0.5000  0.0000
Cu  0.0000  0.0000  0.5000
Cu  0.5000  0.0000  0.0000



Which of them is the most stable, and which is the least stable? run P and run Q, in that order.



Run P
Here is crystalline KCuC3 at its relaxed geometry from the Alexandria database. Energies are from PBE.

## Properties
DOS(E_F), states/eV per cell: 2.38
Total magnetization, Bohr magnetons per cell: 0.00
Theoretical density, g cm⁻³: 3.4

a = 4.0575 Å, b = 4.0575 Å, c = 4.0575 Å
α = 90.00°, β = 90.00°, γ = 90.00°
Atoms (fractional coordinates):
K  0.5000  0.5000  0.5000
C  0.0000  0.5000  0.0000
C  0.0000  0.0000  0.5000
C  0.5000  0.0000  0.0000
Cu  0.0000  0.0000  0.0000



Run Q
Here is crystalline KCuC3 at its relaxed geometry from the Alexandria database. Energies are from PBE.

## Properties
DOS(E_F), states/eV per cell: 2.88
Total magnetization, Bohr magnetons per cell: 0.00
Theoretical density, g cm⁻³: 2.7

a = 4.3930 Å, b = 4.3930 Å, c = 4.3930 Å
α = 90.00°, β = 90.00°, γ = 90.00°
Atoms (fractional coordinates):
K  0.0000  0.0000  0.0000
C  0.0000  0.5000  0.0000
C  0.0000  0.0000  0.5000
C  0.5000  0.0000  0.0000
Cu  0.5000  0.5000  0.5000



Which of them is the most stable, and which is the least stable? run P and run Q, in that order.



Run P
Here is crystalline KCu3C at its relaxed geometry from the Alexandria database. Energies are from PBE.

## Properties
DOS(E_F), states/eV per cell: 0.00
Total magnetization, Bohr magnetons per cell: 0.00
Theoretical density, g cm⁻³: 5.6

a = 4.1464 Å, b = 4.1464 Å, c = 4.1464 Å
α = 90.00°, β = 90.00°, γ = 90.00°
Atoms (fractional coordinates):
K  0.5000  0.5000  0.5000
C  0.0000  0.0000  0.0000
Cu  0.0000  0.5000  0.0000
Cu  0.0000  0.0000  0.5000
Cu  0.5000  0.0000  0.0000



Run Q
Here is crystalline KCu3C at its relaxed geometry from the Alexandria database. Energies are from PBE.

## Properties
DOS(E_F), states/eV per cell: 4.07
Total magnetization, Bohr magnetons per cell: 1.37
Theoretical density, g cm⁻³: 3.0

a = 5.1426 Å, b = 5.1426 Å, c = 5.1426 Å
α = 90.00°, β = 90.00°, γ = 90.00°
Atoms (fractional coordinates):
K  0.0000  0.0000  0.0000
C  0.5000  0.5000  0.5000
Cu  0.0000  0.5000  0.0000
Cu  0.0000  0.0000  0.5000
Cu  0.5000  0.0000  0.0000



Which of them is the most stable, and which is the least stable? run P and run Q, in that order.



Run P
Here is crystalline LaCuC3 at its relaxed geometry from the Alexandria database. Energies are from PBE.

## Properties
DOS(E_F), states/eV per cell: 6.05
Total magnetization, Bohr magnetons per cell: 0.00
Theoretical density, g cm⁻³: 4.4

a = 4.4939 Å, b = 4.4939 Å, c = 4.4939 Å
α = 90.00°, β = 90.00°, γ = 90.00°
Atoms (fractional coordinates):
C  0.0000  0.5000  0.0000
C  0.0000  0.0000  0.5000
C  0.5000  0.0000  0.0000
Cu  0.5000  0.5000  0.5000
La  0.0000  0.0000  0.0000



Run Q
Here is crystalline LaCuC3 at its relaxed geometry from the Alexandria database. Energies are from PBE.

## Properties
DOS(E_F), states/eV per cell: 4.69
Total magnetization, Bohr magnetons per cell: 0.00
Theoretical density, g cm⁻³: 6.2

a = 3.9946 Å, b = 3.9946 Å, c = 3.9946 Å
α = 90.00°, β = 90.00°, γ = 90.00°
Atoms (fractional coordinates):
C  0.0000  0.5000  0.0000
C  0.0000  0.0000  0.5000
C  0.5000  0.0000  0.0000
Cu  0.0000  0.0000  0.0000
La  0.5000  0.5000  0.5000



Which of them is the most stable, and which is the least stable? run Q and run P, in that order.



Run P
Here is crystalline LaCu3C at its relaxed geometry from the Alexandria database. Energies are from PBE.

## Properties
DOS(E_F), states/eV per cell: 2.24
Total magnetization, Bohr magnetons per cell: 0.00
Theoretical density, g cm⁻³: 7.7

a = 4.2004 Å, b = 4.2004 Å, c = 4.2004 Å
α = 90.00°, β = 90.00°, γ = 90.00°
Atoms (fractional coordinates):
C  0.0000  0.0000  0.0000
Cu  0.0000  0.5000  0.0000
Cu  0.0000  0.0000  0.5000
Cu  0.5000  0.0000  0.0000
La  0.5000  0.5000  0.5000



Run Q
Here is crystalline LaCu3C at its relaxed geometry from the Alexandria database. Energies are from PBE.

## Properties
DOS(E_F), states/eV per cell: 4.09
Total magnetization, Bohr magnetons per cell: 1.88
Theoretical density, g cm⁻³: 3.7

a = 5.3715 Å, b = 5.3715 Å, c = 5.3715 Å
α = 90.00°, β = 90.00°, γ = 90.00°
Atoms (fractional coordinates):
C  0.5000  0.5000  0.5000
Cu  0.0000  0.5000  0.0000
Cu  0.0000  0.0000  0.5000
Cu  0.5000  0.0000  0.0000
La  0.0000  0.0000  0.0000



Which of them is the most stable, and which is the least stable? run P and run Q, in that order.



Run P
Here is crystalline La2CuNiC at its relaxed geometry from the Alexandria database. Energies are from PBE.

## Properties
DOS(E_F), states/eV per cell: 3.24
Total magnetization, Bohr magnetons per cell: 0.00
Theoretical density, g cm⁻³: 6.6

a = 5.2394 Å, b = 5.2394 Å, c = 3.7517 Å
α = 90.00°, β = 90.00°, γ = 90.00°
Atoms (fractional coordinates):
Ni  0.5000  0.5000  0.5000
C  0.0000  0.0000  0.0000
Cu  0.0000  0.0000  0.5000
La  0.0000  0.5000  0.0000
La  0.5000  0.0000  0.0000



Run Q
Here is crystalline La2CuNiC at its relaxed geometry from the Alexandria database. Energies are from PBE.

## Properties
DOS(E_F), states/eV per cell: 3.72
Total magnetization, Bohr magnetons per cell: 0.00
Theoretical density, g cm⁻³: 6.6

a = 5.3084 Å, b = 5.3084 Å, c = 3.6558 Å
α = 90.00°, β = 90.00°, γ = 90.00°
Atoms (fractional coordinates):
Ni  0.0000  0.0000  0.5000
C  0.0000  0.0000  0.0000
Cu  0.5000  0.5000  0.5000
La  0.0000  0.5000  0.0000
La  0.5000  0.0000  0.0000



Which of them is the most stable, and which is the least stable? run Q and run P, in that order.



Run P
Here is crystalline Li2CuC at its relaxed geometry from the Alexandria database. Energies are from PBE.

## Properties
DOS(E_F), states/eV per cell: 1.56
Total magnetization, Bohr magnetons per cell: 0.00
Theoretical density, g cm⁻³: 3.9

a = 3.7661 Å, b = 3.7661 Å, c = 3.7661 Å
α = 60.00°, β = 60.00°, γ = 60.00°
Atoms (fractional coordinates):
C  0.0000  0.0000  0.0000
Cu  0.5000  0.5000  0.5000
Li  0.2500  0.2500  0.2500
Li  0.7500  0.7500  0.7500



Run Q
Here is crystalline Li2CuC at its relaxed geometry from the Alexandria database. Energies are from PBE.

## Properties
DOS(E_F), states/eV per cell: 3.15
Total magnetization, Bohr magnetons per cell: 0.00
Theoretical density, g cm⁻³: 2.2

a = 8.5439 Å, b = 8.5439 Å, c = 6.3066 Å
α = 47.36°, β = 47.36°, γ = 90.00°
Atoms (fractional coordinates):
C  0.5000  0.5000  0.0000
C  0.2500  0.7500  0.5000
Cu  0.0000  0.0000  0.0000
Cu  0.7500  0.2500  0.5000
Li  0.3763  0.1250  0.2500
Li  0.3737  0.6250  0.2500
Li  0.3750  0.6237  0.7500
Li  0.8750  0.6263  0.7500



Which of them is the most stable, and which is the least stable? run Q and run P, in that order.



Run P
Here is crystalline LiCu3C at its relaxed geometry from the Alexandria database. Energies are from PBE.

## Properties
DOS(E_F), states/eV per cell: 2.05
Total magnetization, Bohr magnetons per cell: 0.00
Theoretical density, g cm⁻³: 5.5

a = 3.9941 Å, b = 3.9941 Å, c = 3.9941 Å
α = 90.00°, β = 90.00°, γ = 90.00°
Atoms (fractional coordinates):
C  0.5000  0.5000  0.5000
Cu  0.0000  0.5000  0.0000
Cu  0.0000  0.0000  0.5000
Cu  0.5000  0.0000  0.0000
Li  0.0000  0.0000  0.0000



Run Q
Here is crystalline LiCu3C at its relaxed geometry from the Alexandria database. Energies are from PBE.

## Properties
DOS(E_F), states/eV per cell: 0.85
Total magnetization, Bohr magnetons per cell: 0.00
Theoretical density, g cm⁻³: 5.9

a = 3.8905 Å, b = 3.8905 Å, c = 3.8905 Å
α = 90.00°, β = 90.00°, γ = 90.00°
Atoms (fractional coordinates):
C  0.0000  0.0000  0.0000
Cu  0.0000  0.5000  0.0000
Cu  0.0000  0.0000  0.5000
Cu  0.5000  0.0000  0.0000
Li  0.5000  0.5000  0.5000



Which of them is the most stable, and which is the least stable? run Q and run P, in that order.